The following is a PBE calculation of a relaxed structure of DyAlIn2, from Alexandria via LeMat-Bulk.

Output
* relative energy among the computed polymorphs: 0.000 eV per formula unit
* total moment: 0.0 μB per formula unit
* density: 7538 kg/m³

Unit cell a=4.499 b=4.499 c=4.561 alpha=90.00 beta=90.00 gamma=90.00
Space group P4/mmm (No. 123)
One atom of each set of equivalent atoms:
Dy (0.000, 0.000, 0.000) (multiplicity 1)
Al (0.500, 0.500, 0.000) (multiplicity 1)
In (0.000, 0.500, 0.500) (multiplicity 2)